WCl3O (GGA+U, relaxed); E = -0.1768 Ha/atom; space group = P4_2/mnm; volume = 27.8 Å³/atom
1.0
-1.137 2.518 -2.650
-11.462 -1.623 3.377
1.098 8.938 8.020
Cl O W
12 4 4
Cartesian
-6.428 2.611 5.238
-3.057 8.789 6.896
-1.596 1.984 -0.195
-8.445 1.045 1.851
-3.937 4.705 6.159
-8.543 4.083 7.545
-6.025 6.200 8.476
-10.523 2.511 4.136
-9.906 7.849 8.942
-1.821 3.233 3.853
-0.979 7.322 4.611
-4.339 1.116 2.922
-6.802 5.659 5.529
-4.700 4.175 3.218
-10.189 -0.552 3.848
-0.176 7.868 7.550
-4.029 2.844 4.431
-0.869 9.022 6.178
-10.633 0.811 2.569
-6.336 4.472 6.967